First-principles (PBE-GGA) data for a geometry-optimized KMnCdTe3 structure, as listed in the Alexandria database.

Structure (POSCAR):
```
KMnCdTe3
1.0
-1.3871 -2.5805 -2.9352
7.6612 -1.4273 -2.3658
-3.1912 -8.5777 9.0492
Te Mn Cd K
6 2 2 2
Cartesian
5.2678 -4.6140 -2.8276 Te
-0.7079 -6.8604 1.9714 Te
3.7908 -5.7251 1.7769 Te
1.9066 -3.5529 -2.1720 Te
1.1762 -9.0326 5.9203 Te
-2.1850 -7.9715 6.5759 Te
-1.2387 -10.0386 5.0163 Mn
4.3216 -2.5469 -1.2680 Mn
4.6026 -6.5263 -0.8320 Cd
-1.5197 -6.0592 4.5803 Cd
0.8903 -3.6528 1.3258 K
2.1926 -8.9327 2.4225 K
```

Properties
As for the spin magnetization: 4.05 μB/f.u. As for the formation energy without anion corrections: -2.83 eV per formula unit. As for the space group: P2_1/m, No. 11.

First-principles (PBE-GGA) data for a geometry-optimized Ca3Tm2PaBi6 structure, as listed in the Alexandria database.

Structure (POSCAR):
```
Ca3Tm2PaBi6
1.0
-0.2752 -6.4726 -4.3632
-2.5712 -0.1486 7.3739
-5.9102 4.0821 -3.3556
Bi Tm Ca Pa
6 2 3 1
Cartesian
-2.4729 0.3956 1.8884 Bi
-3.5245 -3.9847 1.4575 Bi
-1.7116 -1.7013 -2.0034 Bi
-5.2321 1.4457 -1.8024 Bi
-7.0450 -0.8377 1.6585 Bi
-6.2837 -2.9346 -2.2333 Bi
-1.8053 -2.2582 3.4585 Tm
-1.0412 -4.3629 -0.4478 Tm
-5.1409 0.8310 3.7260 Ca
-3.6157 -3.3700 -4.0710 Ca
-4.3783 -1.2695 -0.1725 Ca
0.0000 0.0000 0.0000 Pa
```

Properties
As for the spin magnetization: 0.00 μB/f.u. The value obtained for the energy relative to the elements is -0.670 eV per atom. As for the space group: C2/m, No. 12.

First-principles (PBE-GGA) data for a geometry-optimized Pr3Mg7Sn4 structure, as listed in the Alexandria database.

Structure (POSCAR):
```
Pr3Mg7Sn4
1.0
4.5069 0.0000 1.1370
1.6757 8.3649 2.8588
-0.0141 -0.1204 9.5569
Sn Mg Pr
4 7 3
Cartesian
0.6901 0.7656 6.7654 Sn
3.6995 3.7596 4.3375 Sn
5.4784 7.4790 6.7872 Sn
2.4690 4.4850 9.2152 Sn
3.3246 1.3169 5.8237 Mg
2.5379 1.6244 8.9423 Mg
2.8440 6.9277 7.7290 Mg
1.7477 5.1653 2.5732 Mg
4.4208 3.0793 10.9795 Mg
0.0000 0.0000 0.0000 Mg
3.6307 6.6202 4.6104 Mg
4.4696 6.7261 10.7860 Pr
0.8308 4.1223 6.2078 Pr
1.6989 1.5185 2.7666 Pr
```

Properties
As for the spin magnetization: 0.00 μB/f.u. The value obtained for the energy relative to the elements is -0.430 eV per atom. As for the space group: C2/m, No. 12.

First-principles (PBE-GGA) data for a geometry-optimized Sn2PtN structure, as listed in the Alexandria database.

Structure (POSCAR):
```
Sn2PtN
1.0
5.8907 0.0000 0.0000
0.0000 5.8907 0.0000
2.9454 2.9454 4.7942
Sn N Pt
4 2 2
Cartesian
4.4180 4.7293 3.5956 Sn
7.3634 7.0521 3.5956 Sn
1.7839 4.4180 1.1985 Sn
4.1068 1.4727 1.1985 Sn
2.9454 2.9454 0.0000 N
2.9454 5.8907 2.3971 N
5.8907 2.9454 2.3971 Pt
0.0000 0.0000 0.0000 Pt
```

Properties
As for the spin magnetization: 0.00 μB/f.u. For the polymorph energy (0 for the lowest one), the calculation gives 0.0000 eV per atom. As for the formation energy without anion corrections: 0.26 eV per formula unit. As for the space group: I-42d, No. 122.

First-principles (PBE-GGA) data for a geometry-optimized LiAcSmHo structure, as listed in the Alexandria database.

Structure (POSCAR):
```
LiAcSmHo
1.0
5.7291 0.0000 0.0000
2.8646 4.9616 0.0000
2.8646 1.6539 4.6778
Sm Ho Ac Li
1 1 1 1
Cartesian
2.8646 1.6539 1.1695 Sm
8.5937 4.9616 3.5084 Ho
5.7291 3.3077 2.3389 Ac
0.0000 0.0000 0.0000 Li
```

Properties
As for the spin magnetization: 0.00 μB/f.u. The value obtained for the energy relative to the elements is 0.253 eV per atom. As for the space group: F-43m, No. 216.

First-principles (PBE-GGA) data for a geometry-optimized NiPOs structure, as listed in the Alexandria database.

Structure (POSCAR):
```
NiPOs
1.0
-4.9720 0.9315 0.4201
0.2036 -0.2089 2.8722
1.1669 5.2933 0.3022
Os Ni P
2 2 2
Cartesian
-1.2509 2.4351 0.2657 Os
-2.3010 4.2780 1.9251 Os
0.3055 4.3436 1.7451 Ni
-4.2428 1.4014 0.4026 Ni
-4.2731 2.9926 1.9714 P
-1.0268 5.6470 0.4834 P
```

Properties
As for the spin magnetization: 0.00 μB/f.u. The value obtained for the energy relative to the elements is -0.174 eV per atom. As for the space group: Pm, No. 6.

First-principles (PBE-GGA) data for a geometry-optimized Y3Tm5Se12 structure, as listed in the Alexandria database.

Structure (POSCAR):
```
Y3Tm5Se12
1.0
14.4691 0.0000 0.0000
-4.8230 13.6416 0.0000
-4.8230 -6.8208 11.8140
Se Y Tm
48 12 20
Cartesian
5.3042 -1.7477 10.7142 Se
7.8039 -0.8639 2.6305 Se
1.8422 5.2566 7.9705 Se
4.7768 2.1992 6.8706 Se
0.0462 4.6216 4.9433 Se
1.4072 1.0079 7.0068 Se
-0.4812 4.9945 0.9636 Se
-1.8422 -0.7003 5.3399 Se
6.7534 6.8994 2.0635 Se
-5.3042 0.0786 9.7505 Se
-2.4577 3.1814 7.4377 Se
6.2303 10.4800 3.2764 Se
-4.8692 10.0022 4.3763 Se
5.8273 -1.0079 7.0068 Se
2.8927 5.0731 1.0998 Se
-2.9808 7.6847 9.1834 Se
-4.2537 6.1205 6.4741 Se
-0.4812 8.5685 1.0998 Se
-5.8273 3.6592 8.5375 Se
2.4577 -2.1992 6.8706 Se
9.5999 1.4401 0.5671 Se
-1.4072 -3.6592 8.5375 Se
0.5693 8.3851 7.9705 Se
7.2807 12.2015 0.5671 Se
2.3653 9.0200 4.9433 Se
2.9808 1.5642 3.8435 Se
-3.8187 11.4879 1.5307 Se
-1.9303 -0.0786 9.7505 Se
1.9303 1.7477 10.7142 Se
-1.4072 4.6671 10.2833 Se
4.2537 -1.5642 3.8435 Se
-1.0043 7.8287 4.8072 Se
6.2303 2.1537 1.5307 Se
-2.4577 -5.3807 11.2469 Se
10.6504 3.1616 3.2764 Se
7.2807 3.6394 4.3763 Se
-0.5693 0.8639 2.6305 Se
5.3042 1.8263 10.8503 Se
9.0767 0.7003 5.3399 Se
9.6923 -3.1814 7.4377 Se
5.3924 5.9569 9.1834 Se
2.8927 8.6471 0.9636 Se
10.1272 6.7422 2.0635 Se
6.6652 7.5211 6.4741 Se
3.4158 5.8129 4.8072 Se
1.9303 -1.8263 10.8503 Se
8.6418 -4.6671 10.2833 Se
-4.7768 5.3807 11.2469 Se
3.6173 7.6734 7.3837 Y
1.2058 6.8208 2.9535 Y
1.2058 -0.8526 4.4302 Y
-3.6173 -2.5578 10.3372 Y
-1.2058 5.9682 7.3837 Y
6.0288 0.8526 4.4302 Y
10.8518 0.0000 2.9535 Y
8.4403 4.2630 1.4767 Y
3.6173 0.0000 8.8605 Y
8.4403 9.3786 1.4767 Y
-3.6173 2.5578 10.3372 Y
-6.0288 6.8208 8.8605 Y
4.8230 6.8208 0.0000 Tm
-1.2058 3.4104 2.9535 Tm
0.0000 0.0000 0.0000 Tm
1.2058 -3.4104 8.8605 Tm
-3.6173 7.6734 4.4302 Tm
-4.8230 3.4104 5.9070 Tm
-2.4115 -3.4104 5.9070 Tm
3.6173 10.2312 2.9535 Tm
6.0288 -4.2630 10.3372 Tm
2.4115 3.4104 5.9070 Tm
1.2058 4.2630 10.3372 Tm
7.2346 0.0000 0.0000 Tm
-1.2058 11.0838 1.4767 Tm
3.6173 2.5578 1.4767 Tm
4.8230 -3.4104 5.9070 Tm
-1.2058 0.8526 7.3837 Tm
8.4403 -0.8526 7.3837 Tm
6.0288 3.4104 8.8605 Tm
6.0288 5.9682 4.4302 Tm
-2.4115 6.8208 0.0000 Tm
```

Properties
As for the spin magnetization: 0.00 μB/f.u. As for the formation energy without anion corrections: -33.13 eV per formula unit. As for the space group: Ia-3d, No. 230.

First-principles (PBE-GGA) data for a geometry-optimized FeAg2Sb structure, as listed in the Alexandria database.

Structure (POSCAR):
```
FeAg2Sb
1.0
-3.1948 2.4448 0.2345
-1.6728 -1.8843 -3.1448
-1.9848 -2.8593 2.7690
Fe Sb Ag
1 1 2
Cartesian
-2.5898 -0.2073 1.5018 Fe
-1.8288 -2.3718 -0.1879 Sb
-2.4338 0.2802 -1.4551 Ag
0.0000 0.0000 0.0000 Ag
```

Properties
As for the spin magnetization: 2.86 μB/f.u. As for the formation energy without anion corrections: 1.08 eV per formula unit. As for the space group: P4/mmm, No. 123.

First-principles (PBE-GGA) data for a geometry-optimized KGa2FeSn structure, as listed in the Alexandria database.

Structure (POSCAR):
```
KGa2FeSn
1.0
4.7690 0.0000 0.0000
0.0000 4.9621 0.0000
0.0000 0.0000 4.7690
Ga K Sn Fe
2 1 1 1
Cartesian
0.0000 0.0000 2.3845 Ga
2.3845 0.0000 0.0000 Ga
2.3845 2.4811 2.3845 K
0.0000 2.4811 0.0000 Sn
0.0000 0.0000 0.0000 Fe
```

Properties
As for the spin magnetization: 0.00 μB/f.u. The value obtained for the energy relative to the elements is -0.058 eV per atom. As for the space group: P4/mmm, No. 123.

First-principles (PBE-GGA) data for a geometry-optimized LiLa3Sm3Te8 structure, as listed in the Alexandria database.

Structure (POSCAR):
```
LiLa3Sm3Te8
1.0
-4.3799 7.8164 -0.2920
-1.4843 -6.2077 -6.2947
-2.9436 -1.3359 8.3945
Te La Sm Li
8 3 3 1
Cartesian
-6.9332 -1.3168 -0.2583 Te
-4.7369 -5.2364 -0.1119 Te
-4.0710 5.5092 1.9197 Te
-2.6220 -1.5098 -1.0846 Te
-4.8155 2.3961 -1.2376 Te
-3.9923 -2.1233 3.0454 Te
-6.1858 1.7826 2.8924 Te
-1.8746 1.5896 2.0661 Te
-0.7421 -3.1038 -3.1474 La
0.0000 0.0000 0.0000 La
-2.9321 0.8044 -3.2934 La
-2.2140 -3.7718 1.0499 Sm
-3.6618 3.2402 4.0513 Sm
-4.4039 0.1364 0.9039 Sm
-1.4718 -0.6679 4.1973 Li
```

Properties
As for the spin magnetization: 0.00 μB/f.u. As for the formation energy without anion corrections: -21.81 eV per formula unit. As for the space group: R-3m, No. 166.

First-principles (PBE-GGA) data for a geometry-optimized Hf2VGe2 structure, as listed in the Alexandria database.

Structure (POSCAR):
```
Hf2VGe2
1.0
-2.8198 -1.1991 -1.8653
4.1498 -4.5133 -3.3719
0.0705 -4.6808 6.3519
Hf Ge V
4 4 2
Cartesian
0.4775 -8.9408 1.5764 Hf
-0.7389 -5.4385 1.1638 Hf
0.9735 -1.5073 -0.5027 Hf
3.0404 -5.9346 -0.7811 Hf
0.7557 -6.6715 3.1464 Ge
2.4073 -5.6385 -3.4638 Ge
1.7466 -8.2568 -0.7819 Ge
1.4219 -4.0592 0.4601 Ge
0.8019 -4.2853 -1.9069 V
-0.6934 -4.7027 4.0714 V
```

Properties
As for the spin magnetization: 0.00 μB/f.u. For the polymorph energy (0 for the lowest one), the calculation gives 0.2419 eV per atom. The value obtained for the energy relative to the elements is -0.343 eV per atom. As for the space group: Cmc2_1, No. 36.

First-principles (PBE-GGA) data for a geometry-optimized SrPmZn2 structure, as listed in the Alexandria database.

Structure (POSCAR):
```
SrPmZn2
1.0
3.7881 0.0000 0.0000
0.0000 3.7881 0.0000
0.0000 0.0000 7.5209
Pm Zn Sr
1 2 1
Cartesian
1.8941 1.8941 0.0000 Pm
0.0000 0.0000 5.8928 Zn
0.0000 0.0000 1.6280 Zn
1.8941 1.8941 3.7604 Sr
```

Properties
As for the spin magnetization: 0.13 μB/f.u. The value obtained for the energy relative to the elements is -0.245 eV per atom. As for the space group: P4/mmm, No. 123.

> spin magnetization of number 5 (LiAcSmHo)?

0.00 μB/f.u.

> Which of these has the highest spin magnetization?

KMnCdTe3

> What is the spin magnetization in the first record?

4.05 μB/f.u.